First-principles (PBE-GGA) data for a relaxed K2YCo crystal, as listed in Alexandria via LeMat-Bulk.

- Energy: -12.46 eV/f.u.
- Calculated formation energy: 827 meV/atom
- Distance to the lowest polymorph of the same formula: 468.7 meV/atom
- Magnetization: 0.33 μB/f.u.

Cell lengths 4.3770, 4.3770, 6.4545 Å; angles 90.00, 90.00, 90.00 degrees
Positions (direct):
K  0.0000  0.5000  0.0000
K  0.5000  0.0000  0.0000
Y  0.0000  0.0000  0.5000
Co  0.5000  0.5000  0.5000